First-principles (PBE) data for crystalline SmZrCu10 at its relaxed geometry, as listed in the Alexandria database.

Computed properties:
DFT formation energy: -0.11 eV per atom

Cell: 4.096 4.996 8.633 Å, 90.00 90.00 90.00°
Fractional coordinates of all 12 atoms:
1 Sm 0.000 0.000 0.000
2 Zr 0.000 0.500 0.500
3 Cu 0.000 0.000 0.341
4 Cu 0.000 0.500 0.824
5 Cu 0.000 0.500 0.176
6 Cu 0.000 0.000 0.659
7 Cu 0.500 0.000 0.500
8 Cu 0.500 0.500 0.000
9 Cu 0.500 0.255 0.258
10 Cu 0.500 0.745 0.742
11 Cu 0.500 0.745 0.258
12 Cu 0.500 0.255 0.742

First-principles (PBE) data for crystalline SmZr2Cu6 at its relaxed geometry, as listed in the Alexandria database.

Computed properties:
DFT formation energy: -0.13 eV per atom

Cell: 3.106 7.453 7.453 Å, 120.00 90.00 90.00°
Fractional coordinates of all 9 atoms:
1 Sm 0.000 0.000 0.000
2 Zr 0.000 0.333 0.667
3 Zr 0.000 0.667 0.333
4 Cu 0.500 0.338 0.338
5 Cu 0.500 0.662 0.662
6 Cu 0.500 0.000 0.662
7 Cu 0.500 0.662 0.000
8 Cu 0.500 0.338 0.000
9 Cu 0.500 0.000 0.338

First-principles (PBE) data for crystalline SmZr2Cu9 at its relaxed geometry, as listed in the Alexandria database.

Computed properties:
DFT formation energy: -0.14 eV per atom

Cell: 5.100 5.100 8.680 Å, 72.91 72.91 60.00°
Fractional coordinates of all 12 atoms:
1 Sm 0.000 0.000 0.000
2 Zr 0.847 0.847 0.459
3 Zr 0.153 0.153 0.541
4 Cu 0.668 0.668 0.996
5 Cu 0.332 0.332 0.004
6 Cu 0.500 0.500 0.500
7 Cu 0.417 0.417 0.251
8 Cu 0.915 0.417 0.251
9 Cu 0.417 0.915 0.251
10 Cu 0.583 0.583 0.749
11 Cu 0.583 0.085 0.749
12 Cu 0.085 0.583 0.749

Sequential calculated density output: 8.2; 7.9; 8.2 Mg/m³
Sequential electronic total energy output: -0.170; -0.194; -0.185 Ha/atom